NaErCN2: relaxed, GGA-PBE.

extended XYZ file:
```
10
Lattice="5.4160 0.0000 0.0000 0.0000 4.5439 0.4111 0.0000 -0.6336 7.0007" Properties=species:S:1:pos:R:3 pbc="T T T"
Na 0.6678 1.7967 5.4560
Na 4.7482 2.1136 1.9557
Er 2.3788 -0.1584 1.7502
Er 3.0372 -0.4752 5.2505
C 0.0000 0.0000 0.0000
C 0.0000 -0.3168 3.5003
N 4.2070 -0.0283 0.3145
N 4.2070 4.2554 3.5969
N 1.2090 -0.3451 3.8149
N 1.2090 3.9386 7.0972
```

Values from the calculation:
- space group = Pmma (51)
- formation energy without anion corrections (eV per atom) = -0.368
- uncorrected energy (eV per atom) = -6.72
- spin magnetization (μB/cell) = 0.0



ErNpCN: relaxed, GGA-PBE.

extended XYZ file:
```
4
Lattice="-2.4225 -2.4924 -0.1356 0.9497 -3.3446 -0.1023 -0.5988 -2.1505 5.6142" Properties=species:S:1:pos:R:3 pbc="T T T"
Er -0.5364 -2.0321 2.3236
Np -1.5718 -6.0250 4.9870
C -1.4889 -5.8678 0.6164
N -1.0553 -4.0308 3.7185
```

Values from the calculation:
- space group = R3m (160)
- formation energy without anion corrections (eV per atom) = -0.777
- uncorrected energy (eV per atom) = -9.54
- spin magnetization (μB/cell) = 2.8



Er6CN3O2: relaxed, GGA-PBE.

extended XYZ file:
```
12
Lattice="5.9375 0.0008 -0.0002 -2.9666 5.1433 -0.0002 -0.9912 -1.7163 5.6076" Properties=species:S:1:pos:R:3 pbc="T T T"
Er 2.9556 1.7388 4.1694
Er 1.9943 3.4531 1.4230
Er -0.9758 1.6890 1.4378
Er 0.0291 3.4290 4.1694
Er -0.0146 -0.0253 4.1842
Er 1.9506 -0.0012 1.4378
C 0.0000 0.0000 0.0000
N -1.9825 3.4306 2.8036
N 3.9622 -0.0027 2.8036
N 0.9899 1.7139 2.8036
O 0.0059 3.4266 -0.0002
O 2.9650 1.7176 -0.0002
```

Values from the calculation:
- space group = C2/m (12)
- formation energy without anion corrections (eV per atom) = -2.030
- uncorrected energy (eV per atom) = -7.99
- spin magnetization (μB/cell) = 0.0



Er6C2N3O: relaxed, GGA-PBE.

extended XYZ file:
```
12
Lattice="-3.3894 0.5395 0.1413 -0.8986 -6.3496 2.6889 2.6454 4.0970 6.0575" Properties=species:S:1:pos:R:3 pbc="T T T"
Er -0.1948 -2.9396 6.5498
Er -1.9055 -2.0034 3.6931
Er -1.4479 1.2265 2.3379
Er -0.2312 -1.6344 0.6942
Er -1.4114 -0.0787 8.1935
Er 0.2628 0.2903 5.1947
C -1.6594 -1.0623 6.0014
C 0.0168 -0.6508 2.8863
N -2.1440 -2.9050 1.4151
N -1.2032 2.1624 4.6332
N -0.4395 -3.8755 4.2545
O -1.6947 0.2698 0.0707
```

Values from the calculation:
- space group = C2/m (12)
- formation energy without anion corrections (eV per atom) = -1.475
- uncorrected energy (eV per atom) = -7.79
- spin magnetization (μB/cell) = 0.0



Er4CN2O: relaxed, GGA-PBE.

extended XYZ file:
```
8
Lattice="-4.0724 -2.5220 0.8417 2.3807 -4.1444 -0.8995 2.0375 2.9897 4.7655" Properties=species:S:1:pos:R:3 pbc="T T T"
Er -2.7757 -4.1754 0.3956
Er 0.4509 -4.9866 -0.4750
Er 0.6942 0.2495 2.3401
Er -0.1356 -3.0882 2.3749
C 0.4522 -3.2576 4.7113
N 1.8924 -1.8254 1.9222
N -1.3341 -1.0142 2.7928
O -0.7395 -2.9141 -0.0253
```

Values from the calculation:
- space group = I4/mmm (139)
- formation energy without anion corrections (eV per atom) = -1.789
- uncorrected energy (eV per atom) = -7.92
- spin magnetization (μB/cell) = 0.0



Er2CN2O2: relaxed, GGA-PBE.

extended XYZ file:
```
7
Lattice="3.6903 0.0000 0.0000 -1.8451 3.1959 0.0000 0.0003 -0.0002 8.1612" Properties=species:S:1:pos:R:3 pbc="T T T"
C 0.0001 -0.0001 4.0806
Er 0.0001 2.1306 1.4389
Er 1.8454 1.0652 6.7223
O 0.0003 2.1305 7.3223
O 1.8452 1.0653 0.8388
N -1.8450 3.1959 2.8448
N 3.6905 -0.0001 5.3164
```

Values from the calculation:
- space group = P-3m1 (164)
- formation energy without anion corrections (eV per atom) = -2.213
- uncorrected energy (eV per atom) = -8.63
- spin magnetization (μB/cell) = 0.0



Er6C2NO3: relaxed, GGA-PBE.

extended XYZ file:
```
12
Lattice="-1.6244 -2.1835 -2.1320 -4.1348 -1.9503 5.1478 -2.9050 6.8476 -1.9968" Properties=species:S:1:pos:R:3 pbc="T T T"
Er -6.2610 2.0804 2.6397
Er -4.4556 -0.2817 0.8804
Er -2.4032 0.6334 -1.6206
Er -1.0326 -0.4467 1.2442
Er -7.6317 3.1605 -0.2251
Er -4.2086 2.9955 0.1387
C -6.0776 1.4610 0.3314
C -2.5866 1.2528 0.6877
N -0.8122 -1.0918 -1.0660
O -2.8796 -2.0669 1.5079
O -3.9815 2.4334 -2.2616
O -4.6827 0.2804 3.2807
```

Values from the calculation:
- space group = C2/m (12)
- formation energy without anion corrections (eV per atom) = -2.017
- uncorrected energy (eV per atom) = -7.77
- spin magnetization (μB/cell) = 0.0



RbEr2C2N6: relaxed, GGA-PBE.

extended XYZ file:
```
11
Lattice="6.0247 0.0024 0.0028 3.0089 5.1695 0.1425 0.0000 -2.7211 5.4261" Properties=species:S:1:pos:R:3 pbc="T T T"
Rb 3.0123 -1.3594 2.7145
Er 6.0234 -0.3844 4.3827
Er 3.0102 2.8352 1.1888
C 3.0105 1.4772 4.1939
C 6.0231 0.9736 1.3775
N 4.1469 0.8459 4.5329
N 7.1593 1.6060 1.0398
N 3.0100 2.6678 3.5827
N 1.8743 0.8447 4.5317
N 6.0236 -0.2170 1.9888
N 4.8866 1.6048 1.0385
```

Values from the calculation:
- space group = C2/m (12)
- formation energy without anion corrections (eV per atom) = -0.416
- uncorrected energy (eV per atom) = -7.55
- spin magnetization (μB/cell) = 0.4